Material: SrTi2WO8
Method: DFT, PBE with a Hubbard U
State: optimized geometry

Summary:
Size of the total moment in Bohr magnetons per cell: 0.00
Energy in eV per cell: -192.98

Cell and atoms, written as CIF:
```
data_SrTi2WO8
_space_group_name_H-M_alt 'C 1 2/m 1'
_space_group_IT_number 12
_cell_length_a 7.854
_cell_length_b 6.274
_cell_length_c 6.927
_cell_angle_alpha 90.00
_cell_angle_beta 100.70
_cell_angle_gamma 90.00
loop_
_space_group_symop_operation_xyz
'x,y,z'
'-x,-y,-z'
'-x,y,-z'
'x,-y,z'
'x+1/2,y+1/2,z'
'-x+1/2,-y+1/2,-z'
'-x+1/2,y+1/2,-z'
'x+1/2,-y+1/2,z'
loop_
_atom_site_label
_atom_site_fract_x
_atom_site_fract_y
_atom_site_fract_z
Sr1 0.000 0.000 0.000
Ti1 0.062 0.500 0.223
W1 0.000 0.000 0.500
O1 0.005 0.218 0.297
O2 0.162 0.500 0.010
O3 0.247 0.000 0.567
```